Entry 1:
Entry from the Alexandria database: a relaxed structure of CaCoTc (PBE-GGA).

extended XYZ file:
```
6
Lattice="2.181 -5.383 0.000 2.181 5.383 0.000 0.000 0.000 4.834" Properties=species:S:1:pos:R:3 pbc="T T T"
Ca 2.181 2.894 2.417
Ca 2.181 -2.894 0.000
Co 2.181 -0.003 1.214
Co 2.181 0.003 3.631
Tc 2.181 4.944 0.001
Tc 2.181 -4.944 2.419
```

Summary:
total magnetization	2.64	Bohr magnetons per cell
SG	Cmc2_1 (36)
raw total energy	-6.246	eV/atom
ΔE to the lowest computed polymorph	0.087	eV/atom
energy of formation from the pure elements	0.245	eV per atom

***

Entry 2:
Entry from the Alexandria database: a relaxed structure of CaCoTc (PBE-GGA).

extended XYZ file:
```
3
Lattice="3.893 0.000 0.000 -1.946 3.371 0.000 0.000 0.000 4.687" Properties=species:S:1:pos:R:3 pbc="T T T"
Ca 0.000 0.000 0.000
Co 1.946 1.124 2.343
Tc 0.000 2.247 2.343
```

Summary:
total magnetization	0.00	Bohr magnetons per cell
SG	P-6m2 (187)
raw total energy	-6.131	eV/atom
ΔE to the lowest computed polymorph	0.203	eV/atom
energy of formation from the pure elements	0.360	eV per atom

***

Entry 3:
Entry from the Alexandria database: a relaxed structure of CaCoTc2 (PBE-GGA).

extended XYZ file:
```
4
Lattice="1.399 0.808 9.302 -1.399 0.808 9.302 0.000 -1.616 9.302" Properties=species:S:1:pos:R:3 pbc="T T T"
Ca 0.000 0.000 0.000
Co 0.000 0.000 13.952
Tc 0.000 0.000 6.649
Tc 0.000 0.000 21.256
```

Summary:
total magnetization	0.96	Bohr magnetons per cell
SG	R-3m (166)
raw total energy	-6.788	eV/atom
ΔE to the lowest computed polymorph	0.350	eV/atom
energy of formation from the pure elements	0.672	eV per atom

***

Entry 4:
Entry from the Alexandria database: a relaxed structure of CaCoTc2 (PBE-GGA).

extended XYZ file:
```
4
Lattice="2.657 -4.717 0.000 2.657 4.717 0.000 -0.809 0.000 2.521" Properties=species:S:1:pos:R:3 pbc="T T T"
Ca 0.000 0.000 0.000
Co 2.657 0.000 0.000
Tc 0.924 2.358 1.260
Tc 0.924 -2.358 1.260
```

Summary:
total magnetization	1.71	Bohr magnetons per cell
SG	C2/m (12)
raw total energy	-6.861	eV/atom
ΔE to the lowest computed polymorph	0.277	eV/atom
energy of formation from the pure elements	0.599	eV per atom

***

Entry 5:
Entry from the Alexandria database: a relaxed structure of CaCoTc (PBE-GGA).

extended XYZ file:
```
6
Lattice="5.072 0.000 0.000 -2.536 4.392 0.000 0.000 0.000 8.530" Properties=species:S:1:pos:R:3 pbc="T T T"
Ca 0.000 2.928 2.132
Ca 2.536 1.464 6.397
Co 0.000 0.000 0.000
Co 0.000 0.000 4.265
Tc 0.000 0.000 2.132
Tc 0.000 0.000 6.397
```

Summary:
total magnetization	4.51	Bohr magnetons per cell
SG	P6_3/mmc (194)
raw total energy	-4.835	eV/atom
ΔE to the lowest computed polymorph	1.498	eV/atom
energy of formation from the pure elements	1.656	eV per atom

***

Entry 6:
Entry from the Alexandria database: a relaxed structure of CaCoTc2 (PBE-GGA).

extended XYZ file:
```
4
Lattice="2.692 0.000 0.000 0.000 2.692 0.000 0.000 0.000 8.668" Properties=species:S:1:pos:R:3 pbc="T T T"
Ca 0.000 0.000 0.000
Co 0.000 0.000 4.334
Tc 1.346 1.346 2.564
Tc 1.346 1.346 6.104
```

Summary:
total magnetization	0.85	Bohr magnetons per cell
SG	P4/mmm (123)
raw total energy	-7.003	eV/atom
ΔE to the lowest computed polymorph	0.135	eV/atom
energy of formation from the pure elements	0.456	eV per atom